Here is a geometry-optimized LiAcNiPb structure from the Alexandria database. Energies are from GGA-PBE.

Computed properties:
For the density of states at the Fermi level, the calculation gives 0.056 states/eV per atom. The calculation puts the magnetization at 0.00 μB per formula unit. The value obtained for the total energy is -4.145 eV/atom. For the calculated formation energy, the calculation gives -0.27 eV/atom.

abc: 5.0150 5.0150 5.0150
angles: 60.00 60.00 60.00
With the nearest neighbours (Å) after each atom.
Sites, in units of the cell vectors:
Li: 0.0000 0.0000 0.0000  4 Pb 3.07, 4 Ac 3.07
Ac: 0.2500 0.2500 0.2500  4 Ni 3.07, 4 Li 3.07
Ni: 0.5000 0.5000 0.5000  4 Pb 3.07, 4 Ac 3.07
Pb: 0.7500 0.7500 0.7500  4 Ni 3.07, 4 Li 3.07

Here is a geometry-optimized LiAc2NiPd6 structure from the Alexandria database. Energies are from GGA-PBE.

Computed properties:
For the density of states at the Fermi level, the calculation gives 0.748 states/eV per atom. The calculation puts the magnetization at 0.36 μB per formula unit. The value obtained for the total energy is -5.219 eV/atom. For the calculated formation energy, the calculation gives -0.51 eV/atom.

abc: 5.4432 6.6785 6.7548
angles: 82.61 66.54 66.23
With the nearest neighbours (Å) after each atom.
Sites, in units of the cell vectors:
Li: 0.0000 0.0000 0.0000  6 Pd 2.52-2.59
Ac: 0.4667 0.7765 0.2919  7 Pd 3.11-3.21, 2 Ni 3.47-3.48
Ac: 0.5333 0.2235 0.7081  7 Pd 3.11-3.21, 2 Ni 3.47-3.48
Ni: 0.0000 0.5000 0.5000  6 Pd 2.52-2.63
Pd: 0.0009 0.7590 0.7406  1 Ni 2.52, 1 Li 2.52, 4 Pd 2.72-2.77
Pd: 0.1563 0.5893 0.0885  1 Li 2.59, 1 Ni 2.63, 4 Pd 2.75-2.77
Pd: 0.4997 0.2458 0.2551  1 Ni 2.54, 1 Li 2.54, 4 Pd 2.72-2.77
Pd: 0.5003 0.7542 0.7449  1 Ni 2.54, 1 Li 2.54, 4 Pd 2.72-2.77
Pd: 0.8437 0.4107 0.9115  1 Li 2.59, 1 Ni 2.63, 4 Pd 2.75-2.77
Pd: 0.9991 0.2410 0.2594  1 Ni 2.52, 1 Li 2.52, 4 Pd 2.72-2.77